Here is a relaxed BaIn2As crystal from Alexandria. Energies are from PBE. Values from VASP.

Properties
* total moment: 0.00 Bohr magnetons per cell
* calculated total energy: -13.7 eV per formula unit
* symmetry: No. 71
* DFT formation energy: -39.6 kJ/mol of atoms

Geometry as Quantum ESPRESSO input:
```
&SYSTEM
  ibrav = 0, nat = 8, ntyp = 3
/
ATOMIC_SPECIES
Ba 137.33 Ba.upf
In 114.82 In.upf
As 74.92 As.upf
CELL_PARAMETERS angstrom
3.897 0.000 0.000
0.000 5.567 0.000
0.000 0.000 11.121
ATOMIC_POSITIONS crystal
Ba 0.000 0.000 0.000
Ba 0.500 0.500 0.500
In 0.000 0.500 0.205
In 0.000 0.500 0.795
In 0.500 0.000 0.295
In 0.500 0.000 0.705
As 0.000 0.000 0.500
As 0.500 0.500 0.000
```


Here is a relaxed GaH3I3 crystal from Alexandria. Energies are from PBE. Values from VASP.

Properties
* total moment: 0.00 Bohr magnetons per cell
* calculated total energy: -16.2 eV per formula unit
* symmetry: No. 148

Geometry as Quantum ESPRESSO input:
```
&SYSTEM
  ibrav = 0, nat = 14, ntyp = 3
/
ATOMIC_SPECIES
Ga 69.72 Ga.upf
H 1.01 H.upf
I 126.90 I.upf
CELL_PARAMETERS angstrom
5.405 3.121 4.085
-5.405 3.121 4.085
0.000 -6.242 4.085
ATOMIC_POSITIONS crystal
Ga 0.185 0.185 0.185
Ga 0.815 0.815 0.815
H 0.020 0.353 0.630
H 0.353 0.630 0.020
H 0.370 0.980 0.647
H 0.630 0.020 0.353
H 0.647 0.370 0.980
H 0.980 0.647 0.370
I 0.192 0.606 0.217
I 0.217 0.192 0.606
I 0.394 0.783 0.808
I 0.606 0.217 0.192
I 0.783 0.808 0.394
I 0.808 0.394 0.783
```


Here is a relaxed KCuAg2P crystal from Alexandria. Energies are from PBE. Values from VASP.

Properties
* total moment: 0.00 Bohr magnetons per cell
* calculated total energy: -15.9 eV per formula unit
* symmetry: No. 123
* DFT formation energy: 8.5 kJ/mol of atoms

Geometry as Quantum ESPRESSO input:
```
&SYSTEM
  ibrav = 0, nat = 5, ntyp = 4
/
ATOMIC_SPECIES
K 39.10 K.upf
Cu 63.55 Cu.upf
Ag 107.87 Ag.upf
P 30.97 P.upf
CELL_PARAMETERS angstrom
5.101 0.000 0.000
0.000 5.101 0.000
0.000 0.000 4.434
ATOMIC_POSITIONS crystal
K 0.000 0.000 0.000
Cu 0.500 0.500 0.000
Ag 0.000 0.500 0.500
Ag 0.500 0.000 0.500
P 0.500 0.500 0.500
```


Here is a relaxed DyPuZn4 crystal from Alexandria. Energies are from PBE. Values from VASP.

Properties
* total moment: 12.57 Bohr magnetons per cell
* calculated total energy: -24.9 eV per formula unit
* energy relative to the lowest polymorph listed for this composition: 0.45 eV/f.u.
* symmetry: No. 119
* DFT formation energy: -14.2 kJ/mol of atoms

Geometry as Quantum ESPRESSO input:
```
&SYSTEM
  ibrav = 0, nat = 12, ntyp = 3
/
ATOMIC_SPECIES
Dy 162.50 Dy.upf
Pu 244.00 Pu.upf
Zn 65.41 Zn.upf
CELL_PARAMETERS angstrom
4.085 0.000 0.000
0.000 4.085 0.000
0.000 0.000 15.378
ATOMIC_POSITIONS crystal
Dy 0.000 0.000 0.000
Dy 0.500 0.500 0.500
Pu 0.000 0.500 0.750
Pu 0.500 0.000 0.250
Zn 0.000 0.000 0.420
Zn 0.000 0.000 0.580
Zn 0.000 0.500 0.168
Zn 0.000 0.500 0.332
Zn 0.500 0.000 0.668
Zn 0.500 0.000 0.832
Zn 0.500 0.500 0.080
Zn 0.500 0.500 0.920
```


Here is a relaxed Sm3DyY2Te6 crystal from Alexandria. Energies are from PBE. Values from VASP.

Properties
* total moment: 0.00 Bohr magnetons per cell
* energy relative to the elements, uncorrected: -1.343 eV per atom
* calculated total energy: -66.7 eV per formula unit
* symmetry: No. 12

Geometry as Quantum ESPRESSO input:
```
&SYSTEM
  ibrav = 0, nat = 12, ntyp = 4
/
ATOMIC_SPECIES
Sm 150.36 Sm.upf
Dy 162.50 Dy.upf
Y 88.91 Y.upf
Te 127.60 Te.upf
CELL_PARAMETERS angstrom
9.608 -2.188 0.000
9.608 2.188 0.000
-2.098 0.000 8.613
ATOMIC_POSITIONS crystal
Sm 0.000 0.000 0.000
Sm 0.333 0.333 0.667
Sm 0.667 0.667 0.333
Dy 0.000 0.000 0.500
Y 0.333 0.333 0.167
Y 0.667 0.667 0.833
Te 0.165 0.165 0.586
Te 0.168 0.168 0.079
Te 0.499 0.499 0.255
Te 0.501 0.501 0.745
Te 0.832 0.832 0.921
Te 0.835 0.835 0.414
```


Here is a relaxed KIn2Pb3 crystal from Alexandria. Energies are from PBE. Values from VASP.

Properties
* total moment: 0.00 Bohr magnetons per cell
* calculated total energy: -18.0 eV per formula unit
* energy relative to the lowest polymorph listed for this composition: 0.00 eV/f.u.
* symmetry: No. 71
* DFT formation energy: -4.5 kJ/mol of atoms

Geometry as Quantum ESPRESSO input:
```
&SYSTEM
  ibrav = 0, nat = 12, ntyp = 3
/
ATOMIC_SPECIES
K 39.10 K.upf
In 114.82 In.upf
Pb 207.20 Pb.upf
CELL_PARAMETERS angstrom
-2.572 4.933 7.797
2.572 -4.933 7.797
2.572 4.933 -7.797
ATOMIC_POSITIONS crystal
K 0.136 0.136 0.000
K 0.864 0.864 0.000
In 0.148 0.500 0.648
In 0.315 0.815 0.500
In 0.685 0.185 0.500
In 0.852 0.500 0.352
Pb 0.115 0.323 0.792
Pb 0.330 0.000 0.330
Pb 0.468 0.677 0.792
Pb 0.532 0.323 0.208
Pb 0.670 0.000 0.670
Pb 0.885 0.677 0.208
```


Here is a relaxed MgO crystal from Alexandria. Energies are from PBE. Values from VASP.

Properties
* total moment: 0.00 Bohr magnetons per cell
* energy relative to the elements, uncorrected: -2.486 eV per atom
* calculated total energy: -11.5 eV per formula unit
* symmetry: No. 70

Geometry as Quantum ESPRESSO input:
```
&SYSTEM
  ibrav = 0, nat = 8, ntyp = 2
/
ATOMIC_SPECIES
Mg 24.30 Mg.upf
O 16.00 O.upf
CELL_PARAMETERS angstrom
0.000 4.536 4.621
3.096 0.000 4.621
3.096 4.536 0.000
ATOMIC_POSITIONS crystal
Mg 0.028 0.028 0.722
Mg 0.278 0.278 0.972
Mg 0.722 0.722 0.028
Mg 0.972 0.972 0.278
O 0.036 0.714 0.036
O 0.286 0.964 0.286
O 0.714 0.036 0.714
O 0.964 0.286 0.964
```


Here is a relaxed Sm4Y5In crystal from Alexandria. Energies are from PBE. Values from VASP.

Properties
* total moment: 0.00 Bohr magnetons per cell
* calculated total energy: -53.0 eV per formula unit
* energy relative to the lowest polymorph listed for this composition: 1.79 eV/f.u.
* symmetry: No. 107
* DFT formation energy: 8.6 kJ/mol of atoms

Geometry as Quantum ESPRESSO input:
```
&SYSTEM
  ibrav = 0, nat = 10, ntyp = 3
/
ATOMIC_SPECIES
Sm 150.36 Sm.upf
Y 88.91 Y.upf
In 114.82 In.upf
CELL_PARAMETERS angstrom
-5.362 5.362 2.926
5.362 -5.362 2.926
5.362 5.362 -2.926
ATOMIC_POSITIONS crystal
Sm 0.000 0.315 0.315
Sm 0.000 0.685 0.685
Sm 0.315 0.000 0.315
Sm 0.685 0.000 0.685
Y 0.204 0.204 0.000
Y 0.317 0.317 0.630
Y 0.317 0.687 0.000
Y 0.687 0.317 0.000
Y 0.687 0.687 0.370
In 0.722 0.722 0.000
```


Here is a relaxed InAgTe2 crystal from Alexandria. Energies are from PBE. Values from VASP.

Properties
* total moment: 0.00 Bohr magnetons per cell
* energy relative to the elements, uncorrected: -0.233 eV per atom
* calculated total energy: -12.8 eV per formula unit
* symmetry: No. 8

Geometry as Quantum ESPRESSO input:
```
&SYSTEM
  ibrav = 0, nat = 8, ntyp = 3
/
ATOMIC_SPECIES
In 114.82 In.upf
Ag 107.87 Ag.upf
Te 127.60 Te.upf
CELL_PARAMETERS angstrom
8.056 0.000 0.000
0.000 4.664 0.000
-2.684 0.000 7.474
ATOMIC_POSITIONS crystal
In 0.000 0.000 0.000
In 0.500 0.500 0.000
Ag 0.019 0.500 0.555
Ag 0.519 0.000 0.555
Te 0.378 0.500 0.631
Te 0.388 0.000 0.163
Te 0.878 0.000 0.631
Te 0.888 0.500 0.163
```


Here is a relaxed CaScVGe2 crystal from Alexandria. Energies are from PBE. Values from VASP.

Properties
* total moment: 3.13 Bohr magnetons per cell
* calculated total energy: -24.4 eV per formula unit
* symmetry: No. 123
* DFT formation energy: 44.6 kJ/mol of atoms

Geometry as Quantum ESPRESSO input:
```
&SYSTEM
  ibrav = 0, nat = 5, ntyp = 4
/
ATOMIC_SPECIES
Ca 40.08 Ca.upf
Sc 44.96 Sc.upf
V 50.94 V.upf
Ge 72.64 Ge.upf
CELL_PARAMETERS angstrom
5.134 0.000 0.000
0.000 5.134 0.000
0.000 0.000 4.804
ATOMIC_POSITIONS crystal
Ca 0.000 0.000 0.000
Sc 0.500 0.500 0.500
V 0.500 0.500 0.000
Ge 0.000 0.500 0.500
Ge 0.500 0.000 0.500
```


Here is a relaxed SrDyCdCu crystal from Alexandria. Energies are from PBE. Values from VASP.

Properties
* total moment: 0.00 Bohr magnetons per cell
* calculated total energy: -11.7 eV per formula unit
* symmetry: No. 216
* DFT formation energy: -9.4 kJ/mol of atoms

Geometry as Quantum ESPRESSO input:
```
&SYSTEM
  ibrav = 0, nat = 16, ntyp = 4
/
ATOMIC_SPECIES
Sr 87.62 Sr.upf
Dy 162.50 Dy.upf
Cd 112.41 Cd.upf
Cu 63.55 Cu.upf
CELL_PARAMETERS angstrom
7.510 0.000 0.000
0.000 7.510 0.000
0.000 0.000 7.510
ATOMIC_POSITIONS crystal
Sr 0.000 0.000 0.000
Sr 0.000 0.500 0.500
Sr 0.500 0.000 0.500
Sr 0.500 0.500 0.000
Dy 0.000 0.000 0.500
Dy 0.000 0.500 0.000
Dy 0.500 0.000 0.000
Dy 0.500 0.500 0.500
Cd 0.250 0.250 0.750
Cd 0.250 0.750 0.250
Cd 0.750 0.250 0.250
Cd 0.750 0.750 0.750
Cu 0.250 0.250 0.250
Cu 0.250 0.750 0.750
Cu 0.750 0.250 0.750
Cu 0.750 0.750 0.250
```


Here is a relaxed CdGePO2 crystal from Alexandria. Energies are from PBE. Values from VASP.

Properties
* total moment: 0.00 Bohr magnetons per cell
* energy relative to the elements, uncorrected: -0.402 eV per atom
* calculated total energy: -22.9 eV per formula unit
* energy relative to the lowest polymorph listed for this composition: 0.00 eV/f.u.
* symmetry: No. 123

Geometry as Quantum ESPRESSO input:
```
&SYSTEM
  ibrav = 0, nat = 5, ntyp = 4
/
ATOMIC_SPECIES
Cd 112.41 Cd.upf
Ge 72.64 Ge.upf
P 30.97 P.upf
O 16.00 O.upf
CELL_PARAMETERS angstrom
3.736 0.000 0.000
0.000 3.736 0.000
0.000 0.000 5.249
ATOMIC_POSITIONS crystal
Cd 0.000 0.000 0.000
Ge 0.500 0.500 0.500
P 0.500 0.500 0.000
O 0.000 0.500 0.500
O 0.500 0.000 0.500
```


Here is a relaxed Rb2Tl2I2O crystal from Alexandria. Energies are from PBE. Values from VASP.

Properties
* total moment: 0.00 Bohr magnetons per cell
* energy relative to the elements, uncorrected: -0.981 eV per atom
* calculated total energy: -21.6 eV per formula unit
* symmetry: No. 12

Geometry as Quantum ESPRESSO input:
```
&SYSTEM
  ibrav = 0, nat = 14, ntyp = 4
/
ATOMIC_SPECIES
Rb 85.47 Rb.upf
Tl 204.38 Tl.upf
I 126.90 I.upf
O 16.00 O.upf
CELL_PARAMETERS angstrom
13.461 0.000 0.000
0.000 4.803 0.000
-4.109 0.000 8.390
ATOMIC_POSITIONS crystal
Rb 0.036 0.000 0.279
Rb 0.464 0.500 0.721
Rb 0.536 0.500 0.279
Rb 0.964 0.000 0.721
Tl 0.181 0.500 0.060
Tl 0.319 0.000 0.940
Tl 0.681 0.000 0.060
Tl 0.819 0.500 0.940
I 0.169 0.500 0.637
I 0.331 0.000 0.363
I 0.669 0.000 0.637
I 0.831 0.500 0.363
O 0.000 0.500 0.000
O 0.500 0.000 0.000
```


Here is a relaxed Ba2NaLi3Mg12 crystal from Alexandria. Energies are from PBE. Values from VASP.

Properties
* total moment: 0.00 Bohr magnetons per cell
* calculated total energy: -25.6 eV per formula unit
* symmetry: No. 166
* DFT formation energy: 23.7 kJ/mol of atoms

Geometry as Quantum ESPRESSO input:
```
&SYSTEM
  ibrav = 0, nat = 18, ntyp = 4
/
ATOMIC_SPECIES
Ba 137.33 Ba.upf
Na 22.99 Na.upf
Li 6.94 Li.upf
Mg 24.30 Mg.upf
CELL_PARAMETERS angstrom
4.420 2.552 8.324
-4.420 2.552 8.324
0.000 -5.104 8.324
ATOMIC_POSITIONS crystal
Ba 0.080 0.080 0.080
Ba 0.920 0.920 0.920
Na 0.500 0.500 0.500
Li 0.000 0.500 0.500
Li 0.500 0.000 0.500
Li 0.500 0.500 0.000
Mg 0.042 0.672 0.672
Mg 0.285 0.285 0.633
Mg 0.285 0.633 0.285
Mg 0.328 0.328 0.958
Mg 0.328 0.958 0.328
Mg 0.367 0.715 0.715
Mg 0.633 0.285 0.285
Mg 0.672 0.042 0.672
Mg 0.672 0.672 0.042
Mg 0.715 0.367 0.715
Mg 0.715 0.715 0.367
Mg 0.958 0.328 0.328
```


Here is a relaxed Tc2PbAu crystal from Alexandria. Energies are from PBE. Values from VASP.

Properties
* total moment: 0.00 Bohr magnetons per cell
* calculated total energy: -25.5 eV per formula unit
* symmetry: No. 8
* DFT formation energy: 52.9 kJ/mol of atoms

Geometry as Quantum ESPRESSO input:
```
&SYSTEM
  ibrav = 0, nat = 8, ntyp = 3
/
ATOMIC_SPECIES
Tc 98.00 Tc.upf
Pb 207.20 Pb.upf
Au 196.97 Au.upf
CELL_PARAMETERS angstrom
9.565 0.000 0.000
0.000 3.068 0.000
-0.912 0.000 4.848
ATOMIC_POSITIONS crystal
Tc 0.000 0.000 0.000
Tc 0.223 0.500 0.193
Tc 0.500 0.500 0.000
Tc 0.723 0.000 0.193
Pb 0.242 0.000 0.716
Pb 0.742 0.500 0.716
Au 0.477 0.000 0.454
Au 0.977 0.500 0.454
```


Here is a relaxed PrEr2CrN4 crystal from Alexandria. Energies are from PBE. Values from VASP.

Properties
* total moment: 3.36 Bohr magnetons per cell
* energy relative to the elements, uncorrected: -1.279 eV per atom
* calculated total energy: -67.1 eV per formula unit
* symmetry: No. 63

Geometry as Quantum ESPRESSO input:
```
&SYSTEM
  ibrav = 0, nat = 16, ntyp = 4
/
ATOMIC_SPECIES
Pr 140.91 Pr.upf
Er 167.26 Er.upf
Cr 52.00 Cr.upf
N 14.01 N.upf
CELL_PARAMETERS angstrom
1.700 -5.790 0.000
1.700 5.790 0.000
0.000 0.000 11.530
ATOMIC_POSITIONS crystal
Pr 0.094 0.906 0.750
Pr 0.906 0.094 0.250
Er 0.369 0.631 0.543
Er 0.369 0.631 0.957
Er 0.631 0.369 0.043
Er 0.631 0.369 0.457
Cr 0.168 0.832 0.250
Cr 0.832 0.168 0.750
N 0.000 0.000 0.000
N 0.000 0.000 0.500
N 0.263 0.737 0.125
N 0.263 0.737 0.375
N 0.419 0.581 0.750
N 0.581 0.419 0.250
N 0.737 0.263 0.625
N 0.737 0.263 0.875
```


Here is a relaxed Zn2FeTc crystal from Alexandria. Energies are from PBE. Values from VASP.

Properties
* total moment: 14.85 Bohr magnetons per cell
* calculated total energy: -20.5 eV per formula unit
* energy relative to the lowest polymorph listed for this composition: 0.85 eV/f.u.
* symmetry: No. 225
* DFT formation energy: 21.2 kJ/mol of atoms

Geometry as Quantum ESPRESSO input:
```
&SYSTEM
  ibrav = 0, nat = 16, ntyp = 3
/
ATOMIC_SPECIES
Zn 65.41 Zn.upf
Fe 55.84 Fe.upf
Tc 98.00 Tc.upf
CELL_PARAMETERS angstrom
6.022 0.000 0.000
0.000 6.022 0.000
0.000 0.000 6.022
ATOMIC_POSITIONS crystal
Zn 0.250 0.250 0.250
Zn 0.250 0.250 0.750
Zn 0.250 0.750 0.250
Zn 0.250 0.750 0.750
Zn 0.750 0.250 0.250
Zn 0.750 0.250 0.750
Zn 0.750 0.750 0.250
Zn 0.750 0.750 0.750
Fe 0.000 0.000 0.000
Fe 0.000 0.500 0.500
Fe 0.500 0.000 0.500
Fe 0.500 0.500 0.000
Tc 0.000 0.000 0.500
Tc 0.000 0.500 0.000
Tc 0.500 0.000 0.000
Tc 0.500 0.500 0.500
```


Here is a relaxed YOsPb crystal from Alexandria. Energies are from PBE. Values from VASP.

Properties
* total moment: 0.00 Bohr magnetons per cell
* calculated total energy: -18.9 eV per formula unit
* symmetry: No. 216
* DFT formation energy: 81.7 kJ/mol of atoms

Geometry as Quantum ESPRESSO input:
```
&SYSTEM
  ibrav = 0, nat = 12, ntyp = 3
/
ATOMIC_SPECIES
Y 88.91 Y.upf
Os 190.23 Os.upf
Pb 207.20 Pb.upf
CELL_PARAMETERS angstrom
6.811 0.000 0.000
0.000 6.811 0.000
0.000 0.000 6.811
ATOMIC_POSITIONS crystal
Y 0.000 0.000 0.000
Y 0.000 0.500 0.500
Y 0.500 0.000 0.500
Y 0.500 0.500 0.000
Os 0.250 0.250 0.750
Os 0.250 0.750 0.250
Os 0.750 0.250 0.250
Os 0.750 0.750 0.750
Pb 0.250 0.250 0.250
Pb 0.250 0.750 0.750
Pb 0.750 0.250 0.750
Pb 0.750 0.750 0.250
```